Rb2PrSmSe4 (PBE, relaxed); spin magnetization = 0.00 μB per formula unit; formation energy without anion corrections = -13.87 eV per formula unit; V = 265.3 Å³ per cell; energy = -39.2 eV per formula unit
1.0
7.567 0.000 0.000
0.000 4.369 0.000
-2.521 0.000 8.024
Rb Pr Sm Se
2 1 1 4
Direct
0.000 0.000 0.000
0.500 0.500 0.000
0.000 0.500 0.500
0.500 0.000 0.500
0.238 0.000 0.702
0.271 0.500 0.300
0.729 0.500 0.700
0.762 0.000 0.298

---

K2LaTbO4 (PBE, relaxed); spin magnetization = 0.00 μB per formula unit; formation energy without anion corrections = -21.56 eV per formula unit; V = 142.3 Å³ per cell; energy = -53.1 eV per formula unit
1.0
6.266 0.000 0.000
0.000 3.615 0.000
-2.089 0.000 6.283
K La Tb O
2 1 1 4
Direct
0.000 0.000 0.000
0.500 0.500 0.000
0.000 0.500 0.500
0.500 0.000 0.500
0.242 0.000 0.689
0.280 0.500 0.312
0.720 0.500 0.688
0.758 0.000 0.311

---

Th4GaS3 (PBE, relaxed); spin magnetization = 0.00 μB per formula unit; formation energy without anion corrections = -11.87 eV per formula unit; V = 197.3 Å³ per cell; energy = -57.0 eV per formula unit
1.0
5.822 0.000 0.000
0.000 5.822 0.000
0.000 0.000 5.822
Th Ga S
4 1 3
Direct
0.000 0.000 0.000
0.000 0.500 0.500
0.500 0.000 0.500
0.500 0.500 0.000
0.500 0.500 0.500
0.000 0.000 0.500
0.000 0.500 0.000
0.500 0.000 0.000